An optimized crystal structure of Ga9Ir2. Source: Alexandria via LeMat-Bulk, functional PBE-GGA.

Lattice parameters (Å, degrees): 6.483 6.476 8.894 86.44 90.00 90.00
Fractional coordinates of all 22 atoms:
1 Ga 0.738 0.037 0.466
2 Ga 0.262 0.037 0.966
3 Ga 0.662 0.210 0.964
4 Ga 0.338 0.210 0.464
5 Ga 0.761 0.597 0.777
6 Ga 0.239 0.597 0.277
7 Ga 0.737 0.397 0.233
8 Ga 0.263 0.397 0.733
9 Ga 0.554 0.613 0.500
10 Ga 0.446 0.613 0.000
11 Ga 0.949 0.402 0.511
12 Ga 0.051 0.402 0.011
13 Ga 0.477 0.888 0.720
14 Ga 0.523 0.888 0.220
15 Ga 0.045 0.091 0.265
16 Ga 0.955 0.091 0.765
17 Ga 0.138 0.806 0.544
18 Ga 0.862 0.806 0.044
19 Ir 0.622 0.258 0.669
20 Ir 0.378 0.258 0.169
21 Ir 0.876 0.737 0.333
22 Ir 0.124 0.737 0.833

**Formation enthalpy at 0 K**: -307 meV per atom
**DFT total energy**: -4.39 eV per atom
**Total magnetic moment**: 0.0 μB per cell
**Calculated density**: 9.0 g/cm3
**Volume**: 373 Å³/cell
**Space group**: Pc (7)
**Crystal system**: monoclinic